Entry 1:
A plane-wave DFT calculation with PBE was carried out for crystalline KCuS2N at its relaxed geometry.

The structure in CIF format:
```
data_KCuS2N
_chemical_formula_sum 'K1 Cu1 S2 N1'
_cell_length_a 4.910
_cell_length_b 4.910
_cell_length_c 3.834
_cell_angle_alpha 90.00
_cell_angle_beta 90.00
_cell_angle_gamma 90.00
_symmetry_space_group_name_H-M 'P 4/m m m'
_symmetry_Int_Tables_number 123
_symmetry_space_group_name_Hall '-P 4 2'
loop_
_atom_site_label
_atom_site_type_symbol
_atom_site_fract_x
_atom_site_fract_y
_atom_site_fract_z
K1 K 0.000 0.000 0.000
Cu1 Cu 0.500 0.500 0.500
S1 S 0.000 0.500 0.500
N1 N 0.500 0.500 0.000
```

D(E_F): 4.4 states/eV/cell
Electronic total energy: -3.785 eV per atom
Energy above the most stable polymorph in this dataset: 0.00 eV/f.u.



Entry 2:
A plane-wave DFT calculation with PBE was carried out for crystalline KCuSN2 at its relaxed geometry.

The structure in CIF format:
```
data_KCuSN2
_chemical_formula_sum 'K1 Cu1 S1 N2'
_cell_length_a 4.853
_cell_length_b 4.853
_cell_length_c 5.991
_cell_angle_alpha 90.00
_cell_angle_beta 90.00
_cell_angle_gamma 90.00
_symmetry_space_group_name_H-M 'P 4/m m m'
_symmetry_Int_Tables_number 123
_symmetry_space_group_name_Hall '-P 4 2'
loop_
_atom_site_label
_atom_site_type_symbol
_atom_site_fract_x
_atom_site_fract_y
_atom_site_fract_z
K1 K 0.000 0.000 0.000
Cu1 Cu 0.500 0.500 0.500
S1 S 0.000 0.000 0.500
N1 N 0.000 0.500 0.000
```

D(E_F): 2.9 states/eV/cell
Electronic total energy: -2.749 eV per atom
Energy above the most stable polymorph in this dataset: 6.22 eV/f.u.



Entry 3:
A plane-wave DFT calculation with PBE was carried out for crystalline KCuSN2 at its relaxed geometry.

The structure in CIF format:
```
data_KCuSN2
_chemical_formula_sum 'K1 Cu1 S1 N2'
_cell_length_a 4.143
_cell_length_b 4.143
_cell_length_c 4.822
_cell_angle_alpha 90.00
_cell_angle_beta 90.00
_cell_angle_gamma 90.00
_symmetry_space_group_name_H-M 'P 4/m m m'
_symmetry_Int_Tables_number 123
_symmetry_space_group_name_Hall '-P 4 2'
loop_
_atom_site_label
_atom_site_type_symbol
_atom_site_fract_x
_atom_site_fract_y
_atom_site_fract_z
K1 K 0.000 0.000 0.000
Cu1 Cu 0.500 0.500 0.500
S1 S 0.500 0.500 0.000
N1 N 0.000 0.500 0.500
```

D(E_F): 3.3 states/eV/cell
Electronic total energy: -3.992 eV per atom
Energy above the most stable polymorph in this dataset: 0.00 eV/f.u.



Entry 4:
A plane-wave DFT calculation with PBE was carried out for crystalline KCuSeN2 at its relaxed geometry.

The structure in CIF format:
```
data_KCuSeN2
_chemical_formula_sum 'K1 Cu1 Se1 N2'
_cell_length_a 4.106
_cell_length_b 4.106
_cell_length_c 4.886
_cell_angle_alpha 90.00
_cell_angle_beta 90.00
_cell_angle_gamma 90.00
_symmetry_space_group_name_H-M 'P 4/m m m'
_symmetry_Int_Tables_number 123
_symmetry_space_group_name_Hall '-P 4 2'
loop_
_atom_site_label
_atom_site_type_symbol
_atom_site_fract_x
_atom_site_fract_y
_atom_site_fract_z
K1 K 0.000 0.000 0.000
Cu1 Cu 0.500 0.500 0.500
Se1 Se 0.500 0.500 0.000
N1 N 0.000 0.500 0.500
```

D(E_F): 4.9 states/eV/cell
Electronic total energy: -3.731 eV per atom
Energy above the most stable polymorph in this dataset: 0.00 eV/f.u.



Entry 5:
A plane-wave DFT calculation with PBE was carried out for crystalline KCuSe2N at its relaxed geometry.

The structure in CIF format:
```
data_KCuSe2N
_chemical_formula_sum 'K1 Cu1 Se2 N1'
_cell_length_a 5.662
_cell_length_b 5.662
_cell_length_c 5.033
_cell_angle_alpha 90.00
_cell_angle_beta 90.00
_cell_angle_gamma 90.00
_symmetry_space_group_name_H-M 'P 4/m m m'
_symmetry_Int_Tables_number 123
_symmetry_space_group_name_Hall '-P 4 2'
loop_
_atom_site_label
_atom_site_type_symbol
_atom_site_fract_x
_atom_site_fract_y
_atom_site_fract_z
K1 K 0.000 0.000 0.000
Cu1 Cu 0.000 0.000 0.500
Se1 Se 0.000 0.500 0.000
N1 N 0.500 0.500 0.500
```

D(E_F): 8.0 states/eV/cell
Electronic total energy: -1.659 eV per atom
Energy above the most stable polymorph in this dataset: 9.98 eV/f.u.



Entry 6:
A plane-wave DFT calculation with PBE was carried out for crystalline KCuSe2N at its relaxed geometry.

The structure in CIF format:
```
data_KCuSe2N
_chemical_formula_sum 'K1 Cu1 Se2 N1'
_cell_length_a 5.899
_cell_length_b 5.899
_cell_length_c 4.917
_cell_angle_alpha 90.00
_cell_angle_beta 90.00
_cell_angle_gamma 90.00
_symmetry_space_group_name_H-M 'P 4/m m m'
_symmetry_Int_Tables_number 123
_symmetry_space_group_name_Hall '-P 4 2'
loop_
_atom_site_label
_atom_site_type_symbol
_atom_site_fract_x
_atom_site_fract_y
_atom_site_fract_z
K1 K 0.000 0.000 0.000
Cu1 Cu 0.500 0.500 0.500
Se1 Se 0.000 0.500 0.000
N1 N 0.000 0.000 0.500
```

D(E_F): 4.3 states/eV/cell
Electronic total energy: -2.318 eV per atom
Energy above the most stable polymorph in this dataset: 6.68 eV/f.u.



Entry 7:
A plane-wave DFT calculation with PBE was carried out for crystalline KCuSeN2 at its relaxed geometry.

The structure in CIF format:
```
data_KCuSeN2
_chemical_formula_sum 'K1 Cu1 Se1 N2'
_cell_length_a 4.258
_cell_length_b 4.258
_cell_length_c 6.151
_cell_angle_alpha 90.00
_cell_angle_beta 90.00
_cell_angle_gamma 90.00
_symmetry_space_group_name_H-M 'P 4/m m m'
_symmetry_Int_Tables_number 123
_symmetry_space_group_name_Hall '-P 4 2'
loop_
_atom_site_label
_atom_site_type_symbol
_atom_site_fract_x
_atom_site_fract_y
_atom_site_fract_z
K1 K 0.000 0.000 0.000
Cu1 Cu 0.500 0.500 0.500
Se1 Se 0.000 0.000 0.500
N1 N 0.000 0.500 0.000
```

D(E_F): 11.5 states/eV/cell
Electronic total energy: -2.274 eV per atom
Energy above the most stable polymorph in this dataset: 7.29 eV/f.u.



Entry 8:
A plane-wave DFT calculation with PBE was carried out for crystalline KCuSe2N at its relaxed geometry.

The structure in CIF format:
```
data_KCuSe2N
_chemical_formula_sum 'K1 Cu1 Se2 N1'
_cell_length_a 5.430
_cell_length_b 5.430
_cell_length_c 3.569
_cell_angle_alpha 90.00
_cell_angle_beta 90.00
_cell_angle_gamma 90.00
_symmetry_space_group_name_H-M 'P 4/m m m'
_symmetry_Int_Tables_number 123
_symmetry_space_group_name_Hall '-P 4 2'
loop_
_atom_site_label
_atom_site_type_symbol
_atom_site_fract_x
_atom_site_fract_y
_atom_site_fract_z
K1 K 0.000 0.000 0.000
Cu1 Cu 0.500 0.500 0.500
Se1 Se 0.000 0.500 0.500
N1 N 0.500 0.500 0.000
```

D(E_F): 4.7 states/eV/cell
Electronic total energy: -3.654 eV per atom
Energy above the most stable polymorph in this dataset: 0.00 eV/f.u.



Entry 9:
A plane-wave DFT calculation with PBE was carried out for crystalline KSrCu2N at its relaxed geometry.

The structure in CIF format:
```
data_KSrCu2N
_chemical_formula_sum 'K1 Sr1 Cu2 N1'
_cell_length_a 4.463
_cell_length_b 4.463
_cell_length_c 4.996
_cell_angle_alpha 90.00
_cell_angle_beta 90.00
_cell_angle_gamma 90.00
_symmetry_space_group_name_H-M 'P 4/m m m'
_symmetry_Int_Tables_number 123
_symmetry_space_group_name_Hall '-P 4 2'
loop_
_atom_site_label
_atom_site_type_symbol
_atom_site_fract_x
_atom_site_fract_y
_atom_site_fract_z
K1 K 0.000 0.000 0.000
Sr1 Sr 0.500 0.500 0.000
Cu1 Cu 0.000 0.500 0.500
N1 N 0.500 0.500 0.500
```

D(E_F): 2.6 states/eV/cell
Electronic total energy: -3.358 eV per atom



Entry 10:
A plane-wave DFT calculation with PBE was carried out for crystalline KCuTeN2 at its relaxed geometry.

The structure in CIF format:
```
data_KCuTeN2
_chemical_formula_sum 'K1 Cu1 Te1 N2'
_cell_length_a 4.763
_cell_length_b 4.763
_cell_length_c 6.886
_cell_angle_alpha 90.00
_cell_angle_beta 90.00
_cell_angle_gamma 90.00
_symmetry_space_group_name_H-M 'P 4/m m m'
_symmetry_Int_Tables_number 123
_symmetry_space_group_name_Hall '-P 4 2'
loop_
_atom_site_label
_atom_site_type_symbol
_atom_site_fract_x
_atom_site_fract_y
_atom_site_fract_z
K1 K 0.000 0.000 0.000
Cu1 Cu 0.500 0.500 0.500
Te1 Te 0.000 0.000 0.500
N1 N 0.000 0.500 0.000
```

D(E_F): 2.7 states/eV/cell
Electronic total energy: -2.747 eV per atom
Energy above the most stable polymorph in this dataset: 4.37 eV/f.u.



Entry 11:
A plane-wave DFT calculation with PBE was carried out for crystalline KCuTe2N at its relaxed geometry.

The structure in CIF format:
```
data_KCuTe2N
_chemical_formula_sum 'K1 Cu1 Te2 N1'
_cell_length_a 6.053
_cell_length_b 6.053
_cell_length_c 4.194
_cell_angle_alpha 90.00
_cell_angle_beta 90.00
_cell_angle_gamma 90.00
_symmetry_space_group_name_H-M 'P 4/m m m'
_symmetry_Int_Tables_number 123
_symmetry_space_group_name_Hall '-P 4 2'
loop_
_atom_site_label
_atom_site_type_symbol
_atom_site_fract_x
_atom_site_fract_y
_atom_site_fract_z
K1 K 0.000 0.000 0.000
Cu1 Cu 0.500 0.500 0.500
Te1 Te 0.000 0.500 0.000
N1 N 0.000 0.000 0.500
```

D(E_F): 7.0 states/eV/cell
Electronic total energy: -2.012 eV per atom
Energy above the most stable polymorph in this dataset: 7.94 eV/f.u.



Entry 12:
A plane-wave DFT calculation with PBE was carried out for crystalline KCuTeN2 at its relaxed geometry.

The structure in CIF format:
```
data_KCuTeN2
_chemical_formula_sum 'K1 Cu1 Te1 N2'
_cell_length_a 4.379
_cell_length_b 4.379
_cell_length_c 5.300
_cell_angle_alpha 90.00
_cell_angle_beta 90.00
_cell_angle_gamma 90.00
_symmetry_space_group_name_H-M 'P 4/m m m'
_symmetry_Int_Tables_number 123
_symmetry_space_group_name_Hall '-P 4 2'
loop_
_atom_site_label
_atom_site_type_symbol
_atom_site_fract_x
_atom_site_fract_y
_atom_site_fract_z
K1 K 0.000 0.000 0.000
Cu1 Cu 0.500 0.500 0.500
Te1 Te 0.500 0.500 0.000
N1 N 0.000 0.500 0.500
```

D(E_F): 3.6 states/eV/cell
Electronic total energy: -3.622 eV per atom
Energy above the most stable polymorph in this dataset: 0.00 eV/f.u.



no.,ΔE_f (raw) (meV per atom)
1,570
2,2446
3,1202
4,1335
5,2439
6,1779
7,2792
8,443
9,502
10,2250
11,1948
12,1375